The following is a PBE+U calculation of a relaxed CoRhF4 crystal, from the Alexandria database.

The space group is P2/m (No. 10) and the conventional cell measures 4.650, 3.396 and 5.543 Å, with angles of 90.00, 108.79 and 90.00 degrees. Symmetry generates all atoms from Co at (0.000, 0.000, 0.000), Rh at (0.000, 0.500, 0.500), F at (0.207, 0.500, 0.224) and F at (0.233, 0.000, 0.748).

The total energy comes out at -28.828 eV/f.u. As for the mass density: 4.77 g cm⁻³. The crystal system is monoclinic.